No. 1
This record from the Alexandria database describes a PBEsol-optimized structure of Ta3Re. The functional is SCAN.

```
Ta3Re
1.0
9.021 0.000 0.000
-4.511 7.812 0.000
0.000 0.000 2.825
Ta Re
9 3
Direct
0.000 0.500 0.000
0.167 0.333 0.333
0.167 0.833 0.333
0.333 0.167 0.667
0.500 0.000 0.000
0.500 0.500 0.000
0.667 0.833 0.333
0.833 0.167 0.667
0.833 0.667 0.667
0.000 0.000 0.000
0.333 0.667 0.667
0.667 0.333 0.333
```

Properties
Energy of formation: -0.234 eV/atom
Calculated volume: 199 Å³/cell
Size of the total moment: 0.000 μB/atom



No. 2
This record from the Alexandria database describes a PBEsol-optimized structure of Ta2Re3. The functional is SCAN.

```
Ta2Re3
1.0
4.344 0.000 0.000
-2.172 3.762 0.000
0.000 0.000 5.357
Ta Re
2 3
Direct
0.333 0.667 0.330
0.667 0.333 0.670
0.000 0.000 0.500
0.333 0.667 0.844
0.667 0.333 0.156
```

Properties
Energy of formation: 0.399 eV/atom
Offset from the most stable computed form: 1.494 eV per formula unit
Calculated volume: 88 Å³/cell
Size of the total moment: 0.000 μB/atom



No. 3
This record from the Alexandria database describes a PBEsol-optimized structure of Ta3Re. The functional is SCAN.

```
Ta3Re
1.0
4.551 0.000 0.000
0.000 4.551 0.000
0.000 0.000 3.205
Ta Re
3 1
Direct
0.000 0.000 0.000
0.000 0.500 0.500
0.500 0.000 0.500
0.500 0.500 0.000
```

Properties
Energy of formation: -0.286 eV/atom
Calculated volume: 66 Å³/cell
Size of the total moment: 0.000 μB/atom